# PBE NaTa2Se4, optimized geometry
data_NaTa2Se4
_chemical_formula_sum 'Na1 Ta2 Se4'
_symmetry_space_group_name_H-M 'P 1 2/m 1'
_symmetry_Int_Tables_number 10
_symmetry_space_group_name_Hall '-P 2y'
_cell_length_a 6.044
_cell_length_b 3.525
_cell_length_c 8.056
_cell_angle_alpha 90.00
_cell_angle_beta 104.93
_cell_angle_gamma 90.00
loop_
_atom_site_label
_atom_site_type_symbol
_atom_site_fract_x
_atom_site_fract_y
_atom_site_fract_z
Na1 Na 0.000 0.000 0.000
Ta1 Ta 0.000 0.500 0.500
Ta2 Ta 0.500 0.000 0.500
Se1 Se 0.241 0.000 0.714
Se2 Se 0.261 0.500 0.285
# Relative energy among the computed polymorphs in meV/atom: 0
# E in eV per atom: -6.40
# Density of states at the Fermi level in states/eV/f.u.: 2.8